[1]
# CrCoP, optimized geometry, DFT PBEsol
# - Final energy: -8.571 eV per atom
# - Fermi-level density of states: 1.08 states/eV/atom
# - Formation enthalpy at 0 K: -0.65 eV/atom
# - Symmetry: Pnma (62)
data_CrCoP
_chemical_formula_sum 'Cr4 Co4 P4'
_cell_length_a 3.480
_cell_length_b 5.624
_cell_length_c 6.580
_cell_angle_alpha 90.00
_cell_angle_beta 90.00
_cell_angle_gamma 90.00
_space_group_name_H-M_alt 'P 1'
_space_group_IT_number 1
_space_group_name_Hall 'P 1'
loop_
_atom_site_label
_atom_site_type_symbol
_atom_site_fract_x
_atom_site_fract_y
_atom_site_fract_z
Cr1 Cr 0.250 0.027 0.827
Cr2 Cr 0.750 0.973 0.173
Cr3 Cr 0.250 0.527 0.673
Cr4 Cr 0.750 0.473 0.327
P1 P 0.750 0.740 0.877
P2 P 0.250 0.760 0.377
P3 P 0.250 0.260 0.123
P4 P 0.750 0.240 0.623
Co1 Co 0.750 0.856 0.563
Co2 Co 0.750 0.356 0.937
Co3 Co 0.250 0.644 0.063
Co4 Co 0.250 0.144 0.437

=====

[2]
# CrCo2P, optimized geometry, DFT PBEsol
# - Final energy: -8.130 eV per atom
# - Fermi-level density of states: 0.75 states/eV/atom
# - Formation enthalpy at 0 K: -0.25 eV/atom
# - Symmetry: I-4m2 (119)
data_CrCo2P
_chemical_formula_sum 'Cr1 Co2 P1'
_cell_length_a 3.475
_cell_length_b 3.475
_cell_length_c 4.194
_cell_angle_alpha 114.48
_cell_angle_beta 114.48
_cell_angle_gamma 90.00
_space_group_name_H-M_alt 'P 1'
_space_group_IT_number 1
_space_group_name_Hall 'P 1'
loop_
_atom_site_label
_atom_site_type_symbol
_atom_site_fract_x
_atom_site_fract_y
_atom_site_fract_z
Cr1 Cr 0.500 0.500 0.000
Co1 Co 0.000 0.000 0.000
Co2 Co 0.750 0.250 0.500
P1 P 0.250 0.750 0.500

=====

[3]
# CrCoPb2, optimized geometry, DFT PBEsol
# - Final energy: -5.796 eV per atom
# - Fermi-level density of states: 1.13 states/eV/atom
# - Energy above the most stable polymorph in this dataset: 272 meV/atom
# - Formation enthalpy at 0 K: 0.70 eV/atom
# - Symmetry: R-3m (166)
data_CrCoPb2
_chemical_formula_sum 'Cr1 Co1 Pb2'
_cell_length_a 3.350
_cell_length_b 3.350
_cell_length_c 8.349
_cell_angle_alpha 78.43
_cell_angle_beta 78.43
_cell_angle_gamma 60.00
_space_group_name_H-M_alt 'P 1'
_space_group_IT_number 1
_space_group_name_Hall 'P 1'
loop_
_atom_site_label
_atom_site_type_symbol
_atom_site_fract_x
_atom_site_fract_y
_atom_site_fract_z
Cr1 Cr 0.000 0.000 0.000
Pb1 Pb 0.242 0.242 0.273
Pb2 Pb 0.758 0.758 0.727
Co1 Co 0.500 0.500 0.500

=====

[4]
# CrCoPb2, optimized geometry, DFT PBEsol
# - Final energy: -6.068 eV per atom
# - Fermi-level density of states: 0.59 states/eV/atom
# - Energy above the most stable polymorph in this dataset: 0 meV/atom
# - Formation enthalpy at 0 K: 0.43 eV/atom
# - Symmetry: P4mm (99)
data_CrCoPb2
_chemical_formula_sum 'Cr1 Co1 Pb2'
_cell_length_a 3.112
_cell_length_b 3.112
_cell_length_c 8.108
_cell_angle_alpha 90.00
_cell_angle_beta 90.00
_cell_angle_gamma 90.00
_space_group_name_H-M_alt 'P 1'
_space_group_IT_number 1
_space_group_name_Hall 'P 1'
loop_
_atom_site_label
_atom_site_type_symbol
_atom_site_fract_x
_atom_site_fract_y
_atom_site_fract_z
Cr1 Cr 0.500 0.500 0.687
Co1 Co 0.000 0.000 0.559
Pb1 Pb 0.500 0.500 0.324
Pb2 Pb 0.000 0.000 0.930

=====

[5]
# CrCo3Pd, optimized geometry, DFT PBEsol
# - Final energy: -6.170 eV per atom
# - Fermi-level density of states: 1.28 states/eV/atom
# - Formation enthalpy at 0 K: 1.71 eV/atom
# - Symmetry: Pm-3m (221)
data_CrCo3Pd
_chemical_formula_sum 'Cr1 Co3 Pd1'
_cell_length_a 4.445
_cell_length_b 4.445
_cell_length_c 4.445
_cell_angle_alpha 90.00
_cell_angle_beta 90.00
_cell_angle_gamma 90.00
_space_group_name_H-M_alt 'P 1'
_space_group_IT_number 1
_space_group_name_Hall 'P 1'
loop_
_atom_site_label
_atom_site_type_symbol
_atom_site_fract_x
_atom_site_fract_y
_atom_site_fract_z
Pd1 Pd 0.000 0.000 0.000
Co1 Co 0.000 0.500 0.000
Co2 Co 0.000 0.000 0.500
Co3 Co 0.500 0.000 0.000
Cr1 Cr 0.500 0.500 0.500

=====

[6]
# CrCo2Pd, optimized geometry, DFT PBEsol
# - Final energy: -7.642 eV per atom
# - Fermi-level density of states: 1.47 states/eV/atom
# - Formation enthalpy at 0 K: 0.28 eV/atom
# - Symmetry: Fm-3m (225)
data_CrCo2Pd
_chemical_formula_sum 'Cr1 Co2 Pd1'
_cell_length_a 4.026
_cell_length_b 4.026
_cell_length_c 4.026
_cell_angle_alpha 60.00
_cell_angle_beta 60.00
_cell_angle_gamma 60.00
_space_group_name_H-M_alt 'P 1'
_space_group_IT_number 1
_space_group_name_Hall 'P 1'
loop_
_atom_site_label
_atom_site_type_symbol
_atom_site_fract_x
_atom_site_fract_y
_atom_site_fract_z
Pd1 Pd 0.500 0.500 0.500
Co1 Co 0.750 0.750 0.750
Co2 Co 0.250 0.250 0.250
Cr1 Cr 0.000 0.000 0.000

=====

[7]
# CrCo2PdRu, optimized geometry, DFT PBEsol
# - Final energy: -6.763 eV per atom
# - Fermi-level density of states: 1.96 states/eV/atom
# - Formation enthalpy at 0 K: 1.61 eV/atom
# - Symmetry: P4/mmm (123)
data_CrCo2PdRu
_chemical_formula_sum 'Cr1 Co2 Pd1 Ru1'
_cell_length_a 4.254
_cell_length_b 4.254
_cell_length_c 4.781
_cell_angle_alpha 90.00
_cell_angle_beta 90.00
_cell_angle_gamma 90.00
_space_group_name_H-M_alt 'P 1'
_space_group_IT_number 1
_space_group_name_Hall 'P 1'
loop_
_atom_site_label
_atom_site_type_symbol
_atom_site_fract_x
_atom_site_fract_y
_atom_site_fract_z
Co1 Co 0.500 0.000 0.000
Co2 Co 0.000 0.500 0.000
Pd1 Pd 0.000 0.000 0.500
Ru1 Ru 0.000 0.000 0.000
Cr1 Cr 0.500 0.500 0.500

=====

[8]
# Pr2Cr2Co15, optimized geometry, DFT PBEsol
# - Final energy: -7.707 eV per atom
# - Fermi-level density of states: 1.23 states/eV/atom
# - Formation enthalpy at 0 K: 0.02 eV/atom
# - Symmetry: C2/m (12)
data_Pr2Cr2Co15
_chemical_formula_sum 'Pr2 Cr2 Co15'
_cell_length_a 6.194
_cell_length_b 6.217
_cell_length_c 6.217
_cell_angle_alpha 96.24
_cell_angle_beta 96.80
_cell_angle_gamma 83.20
_space_group_name_H-M_alt 'P 1'
_space_group_IT_number 1
_space_group_name_Hall 'P 1'
loop_
_atom_site_label
_atom_site_type_symbol
_atom_site_fract_x
_atom_site_fract_y
_atom_site_fract_z
Co1 Co 0.342 0.860 0.658
Co2 Co 0.282 0.717 0.000
Co3 Co 0.137 0.657 0.343
Co4 Co 0.863 0.343 0.657
Co5 Co 0.098 0.096 0.904
Co6 Co 0.342 0.342 0.140
Co7 Co 0.000 0.714 0.714
Co8 Co 0.658 0.658 0.860
Co9 Co 0.658 0.140 0.342
Co10 Co 0.500 0.000 0.000
Co11 Co 0.000 0.286 0.286
Co12 Co 0.718 0.283 0.000
Co13 Co 0.902 0.904 0.096
Co14 Co 0.282 0.000 0.283
Co15 Co 0.718 0.000 0.717
Cr1 Cr 0.000 0.000 0.500
Cr2 Cr 0.000 0.500 0.000
Pr1 Pr 0.354 0.348 0.652
Pr2 Pr 0.646 0.652 0.348

=====

[9]
# CrCo2Pt, optimized geometry, DFT PBEsol
# - Final energy: -8.156 eV per atom
# - Fermi-level density of states: 1.22 states/eV/atom
# - Formation enthalpy at 0 K: 0.01 eV/atom
# - Symmetry: C2/m (12)
data_CrCo2Pt
_chemical_formula_sum 'Cr1 Co2 Pt1'
_cell_length_a 2.576
_cell_length_b 4.360
_cell_length_c 4.459
_cell_angle_alpha 100.07
_cell_angle_beta 90.00
_cell_angle_gamma 107.19
_space_group_name_H-M_alt 'P 1'
_space_group_IT_number 1
_space_group_name_Hall 'P 1'
loop_
_atom_site_label
_atom_site_type_symbol
_atom_site_fract_x
_atom_site_fract_y
_atom_site_fract_z
Cr1 Cr 0.000 0.000 0.500
Co1 Co 0.254 0.508 0.273
Co2 Co 0.746 0.492 0.727
Pt1 Pt 0.500 0.000 0.000

=====

[10]
# CrCoPt2, optimized geometry, DFT PBEsol
# - Final energy: -8.100 eV per atom
# - Fermi-level density of states: 1.26 states/eV/atom
# - Energy above the most stable polymorph in this dataset: 49 meV/atom
# - Formation enthalpy at 0 K: -0.12 eV/atom
# - Symmetry: P4/mmm (123)
data_CrCoPt2
_chemical_formula_sum 'Cr1 Co1 Pt2'
_cell_length_a 2.650
_cell_length_b 2.650
_cell_length_c 7.381
_cell_angle_alpha 90.00
_cell_angle_beta 90.00
_cell_angle_gamma 90.00
_space_group_name_H-M_alt 'P 1'
_space_group_IT_number 1
_space_group_name_Hall 'P 1'
loop_
_atom_site_label
_atom_site_type_symbol
_atom_site_fract_x
_atom_site_fract_y
_atom_site_fract_z
Cr1 Cr 0.500 0.500 0.500
Co1 Co 0.500 0.500 0.000
Pt1 Pt 0.000 0.000 0.748
Pt2 Pt 0.000 0.000 0.252

=====

[11]
# CrCoPt2, optimized geometry, DFT PBEsol
# - Final energy: -8.149 eV per atom
# - Fermi-level density of states: 0.93 states/eV/atom
# - Energy above the most stable polymorph in this dataset: 0 meV/atom
# - Formation enthalpy at 0 K: -0.17 eV/atom
# - Symmetry: P4/mmm (123)
data_CrCoPt2
_chemical_formula_sum 'Cr1 Co1 Pt2'
_cell_length_a 3.678
_cell_length_b 3.784
_cell_length_c 3.784
_cell_angle_alpha 90.00
_cell_angle_beta 90.00
_cell_angle_gamma 90.00
_space_group_name_H-M_alt 'P 1'
_space_group_IT_number 1
_space_group_name_Hall 'P 1'
loop_
_atom_site_label
_atom_site_type_symbol
_atom_site_fract_x
_atom_site_fract_y
_atom_site_fract_z
Cr1 Cr 0.500 0.000 0.000
Pt1 Pt 0.000 0.000 0.500
Pt2 Pt 0.000 0.500 0.000
Co1 Co 0.500 0.500 0.500

=====

[12]
# CrCoPt2, optimized geometry, DFT PBEsol
# - Final energy: -8.116 eV per atom
# - Fermi-level density of states: 1.11 states/eV/atom
# - Energy above the most stable polymorph in this dataset: 33 meV/atom
# - Formation enthalpy at 0 K: -0.14 eV/atom
# - Symmetry: Pmmm (47)
data_CrCoPt2
_chemical_formula_sum 'Cr1 Co1 Pt2'
_cell_length_a 2.654
_cell_length_b 3.686
_cell_length_c 5.321
_cell_angle_alpha 90.00
_cell_angle_beta 90.00
_cell_angle_gamma 90.00
_space_group_name_H-M_alt 'P 1'
_space_group_IT_number 1
_space_group_name_Hall 'P 1'
loop_
_atom_site_label
_atom_site_type_symbol
_atom_site_fract_x
_atom_site_fract_y
_atom_site_fract_z
Pt1 Pt 0.000 0.000 0.249
Pt2 Pt 0.000 0.000 0.751
Co1 Co 0.500 0.500 0.000
Cr1 Cr 0.500 0.500 0.500

=====

> What is the final energy in the ninth record?

-8.156 eV per atom